# NiPt2I, optimized geometry, DFT PBE-GGA
# **Spin magnetization**: 0.000 μB per formula unit
# **Crystal system**: cubic
# **Raw formation energy**: 583 meV per atom
# **Calculated volume**: 272 Å³ per cell
# **Calculated total energy**: -0.1569 hartree per atom
data_NiPt2I
_chemical_formula_sum 'Ni4 Pt8 I4'
_space_group_name_H-M_alt 'F m -3 m'
_space_group_IT_number 225
_space_group_name_Hall '-F 4 2 3'
_cell_length_a 6.4808
_cell_length_b 6.4808
_cell_length_c 6.4808
_cell_angle_alpha 90.00
_cell_angle_beta 90.00
_cell_angle_gamma 90.00
loop_
_atom_site_label
_atom_site_type_symbol
_atom_site_fract_x
_atom_site_fract_y
_atom_site_fract_z
Ni1 Ni 0.0000 0.0000 0.0000
Pt1 Pt 0.2500 0.2500 0.2500
I1 I 0.0000 0.0000 0.5000